## Ti3Al4 (PBE)

Data for crystalline Ti3Al4 at its relaxed geometry.

## Properties
Its space group is No. 148. For the calculated formation energy, the calculation gives -316 meV/atom. The value obtained for the final energy is -5.8380 eV/atom.

extended XYZ file:
```
14
Lattice="-2.643 -1.889 -4.421 6.702 1.117 -2.215 -0.589 -5.215 4.850" Properties=species:S:1:pos:R:3 pbc="T T T"
Al 1.711 -3.708 -3.136
Al 1.428 -4.917 0.404
Al -1.287 -4.707 -0.331
Al 4.756 -1.280 -1.455
Al 2.041 -1.070 -2.190
Al 1.758 -2.279 1.350
Al -1.322 -0.944 -2.210
Al 0.000 0.000 0.000
Ti 0.106 -1.846 -4.267
Ti -0.256 -4.096 2.356
Ti 3.169 -3.398 -0.896
Ti 3.363 -4.141 2.481
Ti 0.300 -2.589 -0.890
Ti 3.725 -1.891 -4.142
```